# Se2NClF, optimized geometry, DFT PBE
data_Se2NClF
_cell_length_a 4.4914
_cell_length_b 4.4914
_cell_length_c 5.2688
_cell_angle_alpha 90.00
_cell_angle_beta 90.00
_cell_angle_gamma 90.00
_space_group_name_H-M_alt 'P 1'
_space_group_IT_number 1
loop_
_space_group_symop_operation_xyz
'x,y,z'
loop_
_atom_site_label
_atom_site_type_symbol
_atom_site_fract_x
_atom_site_fract_y
_atom_site_fract_z
Se1 Se 0.0000 0.5000 0.0000
Se2 Se 0.5000 0.0000 0.0000
Cl1 Cl 0.5000 0.5000 0.5000
N1 N 0.0000 0.0000 0.5000
F1 F 0.0000 0.0000 0.0000
# - Total moment: 0.993 μB/f.u.
# - Space group: P4/mmm, No. 123
# - ΔE_f (raw): 6.863 eV/f.u.
# - Fermi-level density of states: 3.9 states/eV/f.u.
# - Energy: -2.43 eV per atom

---

# NdSm3Ho6Sc2, optimized geometry, DFT PBE
data_NdSm3Ho6Sc2
_cell_length_a 6.0963
_cell_length_b 6.0963
_cell_length_c 11.6652
_cell_angle_alpha 94.98
_cell_angle_beta 94.98
_cell_angle_gamma 119.98
_space_group_name_H-M_alt 'P 1'
_space_group_IT_number 1
loop_
_space_group_symop_operation_xyz
'x,y,z'
loop_
_atom_site_label
_atom_site_type_symbol
_atom_site_fract_x
_atom_site_fract_y
_atom_site_fract_z
Ho1 Ho 0.9178 0.5817 0.7556
Ho2 Ho 0.5817 0.9178 0.7556
Ho3 Ho 0.2545 0.2545 0.7556
Ho4 Ho 0.7455 0.7455 0.2444
Ho5 Ho 0.0822 0.4183 0.2444
Ho6 Ho 0.4183 0.0822 0.2444
Sm1 Sm 0.8329 0.1671 0.5000
Sm2 Sm 0.5000 0.5000 0.5000
Sm3 Sm 0.1671 0.8329 0.5000
Sc1 Sc 0.3332 0.6668 0.0000
Sc2 Sc 0.6668 0.3332 0.0000
Nd1 Nd 0.0000 0.0000 0.0000
# - Total moment: 0.000 μB/f.u.
# - Space group: C2/m, No. 12
# - Fermi-level density of states: 16.5 states/eV/f.u.
# - Formation enthalpy at 0 K: 0.04 eV per atom
# - Energy: -4.88 eV per atom